1.
Here is KAgAs2Se4 after structural relaxation from Alexandria via LeMat-Bulk. Energies are from GGA-PBE.

Output
- formation energy from raw total energies (eV per formula unit) = -2.08
- space group = I222, No. 23
- VASP energy (eV/atom) = -3.658
- total magnetization (μB/cell) = 0.00

abc: 6.746 7.484 7.484
angles: 48.61 63.21 63.21
Fractional positions:
1 K 0.000 0.000 0.000
2 Ag 0.500 0.500 0.500
3 As 0.227 0.273 0.273
4 As 0.773 0.727 0.727
5 Se 0.468 0.091 0.603
6 Se 0.162 0.909 0.397
7 Se 0.838 0.603 0.091
8 Se 0.532 0.397 0.909

---

2.
Here is La5Tl2Ga after structural relaxation from Alexandria via LeMat-Bulk. Energies are from GGA-PBE.

Output
- space group = Pbam, No. 55
- VASP energy (eV/atom) = -4.443
- total magnetization (μB/cell) = 0.00

abc: 5.397 6.992 13.536
angles: 90.00 90.00 90.00
Fractional positions:
1 La 0.000 0.000 0.500
2 La 0.000 0.500 0.000
3 La 0.000 0.857 0.218
4 La 0.000 0.143 0.782
5 La 0.000 0.643 0.718
6 La 0.000 0.357 0.282
7 La 0.500 0.646 0.412
8 La 0.500 0.354 0.588
9 La 0.500 0.854 0.912
10 La 0.500 0.146 0.088
11 Tl 0.500 0.607 0.155
12 Tl 0.500 0.393 0.845
13 Tl 0.500 0.893 0.655
14 Tl 0.500 0.107 0.345
15 Ga 0.000 0.500 0.500
16 Ga 0.000 0.000 0.000

---

3.
Here is Tb3HoTh2As6 after structural relaxation from Alexandria via LeMat-Bulk. Energies are from GGA-PBE.

Output
- space group = C2/m, No. 12
- VASP energy (eV/atom) = -6.600
- total magnetization (μB/cell) = 0.00

abc: 4.183 8.335 9.331
angles: 102.85 102.95 90.00
Fractional positions:
1 Tb 0.500 0.500 0.000
2 Tb 0.834 0.166 0.667
3 Tb 0.166 0.834 0.333
4 Ho 0.500 0.000 0.000
5 Th 0.835 0.670 0.671
6 Th 0.165 0.330 0.329
7 As 0.334 0.922 0.669
8 As 0.666 0.587 0.331
9 As 0.666 0.078 0.331
10 As 0.998 0.247 0.996
11 As 0.002 0.753 0.004
12 As 0.334 0.413 0.669